Co2TcAgRh | the Alexandria database | PBE | relaxed; space group = No. 123; uncorrected energy = -26.52 eV for the cell shown; volume = 99 Å³/cell
1.0
4.4796 0.0000 0.0000
0.0000 4.4796 0.0000
0.0000 0.0000 4.9361
Co Tc Ag Rh
2 1 1 1
Direct
0.0000 0.5000 0.0000 Co
0.5000 0.0000 0.0000 Co
0.0000 0.0000 0.5000 Tc
0.5000 0.5000 0.5000 Ag
0.5000 0.5000 0.0000 Rh

Th6Co3AgRh2 | the Alexandria database | PBE | relaxed; space group = No. 12; uncorrected energy = -88.45 eV for the cell shown; volume = 286 Å³/cell
1.0
8.9271 -1.9924 0.0000
8.9271 1.9924 0.0000
-2.2505 0.0000 8.0283
Th Co Ag Rh
6 3 1 2
Direct
0.0037 0.0037 0.2229 Th
0.3228 0.3228 0.4221 Th
0.3339 0.3339 0.9155 Th
0.6661 0.6661 0.0845 Th
0.6772 0.6772 0.5779 Th
0.9963 0.9963 0.7771 Th
0.1649 0.1649 0.3299 Co
0.5000 0.5000 0.0000 Co
0.8351 0.8351 0.6701 Co
0.5000 0.5000 0.5000 Ag
0.1639 0.1639 0.8257 Rh
0.8361 0.8361 0.1743 Rh

Y2CoAgRh | the Alexandria database | PBE | relaxed; space group = No. 123; uncorrected energy = -29.50 eV for the cell shown; volume = 125 Å³/cell
1.0
5.3270 0.0000 0.0000
0.0000 5.3270 0.0000
0.0000 0.0000 4.4097
Y Co Ag Rh
2 1 1 1
Direct
0.0000 0.5000 0.0000 Y
0.5000 0.0000 0.0000 Y
0.0000 0.0000 0.5000 Co
0.5000 0.5000 0.5000 Ag
0.0000 0.0000 0.0000 Rh

CoAg4Ru2 | the Alexandria database | PBE | relaxed; space group = No. 139; uncorrected energy = -55.40 eV for the cell shown; volume = 301 Å³/cell
1.0
4.8153 0.0000 0.0000
0.0000 4.8153 0.0000
0.0000 0.0000 12.9895
Co Ag Ru
2 8 4
Direct
0.0000 0.0000 0.0000 Co
0.5000 0.5000 0.5000 Co
0.0000 0.0000 0.1943 Ag
0.0000 0.0000 0.8057 Ag
0.0000 0.5000 0.0000 Ag
0.0000 0.5000 0.5000 Ag
0.5000 0.0000 0.0000 Ag
0.5000 0.0000 0.5000 Ag
0.5000 0.5000 0.3057 Ag
0.5000 0.5000 0.6943 Ag
0.0000 0.0000 0.4026 Ru
0.0000 0.0000 0.5974 Ru
0.5000 0.5000 0.0974 Ru
0.5000 0.5000 0.9026 Ru

Co2AgRu | the Alexandria database | PBE | relaxed; space group = No. 216; uncorrected energy = -96.00 eV for the cell shown; volume = 223 Å³/cell
1.0
6.0597 0.0000 0.0000
0.0000 6.0597 0.0000
0.0000 0.0000 6.0597
Co Ag Ru
8 4 4
Direct
0.0000 0.0000 0.0000 Co
0.0000 0.5000 0.5000 Co
0.2500 0.2500 0.2500 Co
0.2500 0.7500 0.7500 Co
0.5000 0.0000 0.5000 Co
0.5000 0.5000 0.0000 Co
0.7500 0.2500 0.7500 Co
0.7500 0.7500 0.2500 Co
0.2500 0.2500 0.7500 Ag
0.2500 0.7500 0.2500 Ag
0.7500 0.2500 0.2500 Ag
0.7500 0.7500 0.7500 Ag
0.0000 0.0000 0.5000 Ru
0.0000 0.5000 0.0000 Ru
0.5000 0.0000 0.0000 Ru
0.5000 0.5000 0.5000 Ru

Co2AgRu | the Alexandria database | PBE | relaxed; space group = No. 160; uncorrected energy = -75.14 eV for the cell shown; volume = 163 Å³/cell
1.0
2.6740 0.0000 0.0000
-1.3370 2.3157 0.0000
0.0000 0.0000 26.2769
Co Ag Ru
6 3 3
Direct
0.0000 0.0000 0.0000 Co
0.0000 0.0000 0.2614 Co
0.3333 0.6667 0.6667 Co
0.3333 0.6667 0.9281 Co
0.6667 0.3333 0.3333 Co
0.6667 0.3333 0.5947 Co
0.0000 0.0000 0.7554 Ag
0.3333 0.6667 0.4221 Ag
0.6667 0.3333 0.0888 Ag
0.0000 0.0000 0.5173 Ru
0.3333 0.6667 0.1840 Ru
0.6667 0.3333 0.8506 Ru

Co2AgRu | the Alexandria database | PBE | relaxed; space group = No. 65; uncorrected energy = -49.24 eV for the cell shown; volume = 107 Å³/cell
1.0
5.5026 0.0000 0.0000
0.0000 7.3632 0.0000
0.0000 0.0000 2.6528
Co Ag Ru
4 2 2
Direct
0.2500 0.2500 0.0000 Co
0.2500 0.7500 0.0000 Co
0.7500 0.2500 0.0000 Co
0.7500 0.7500 0.0000 Co
0.0000 0.0000 0.5000 Ag
0.5000 0.5000 0.5000 Ag
0.0000 0.5000 0.5000 Ru
0.5000 0.0000 0.5000 Ru

Co2AgRu | the Alexandria database | PBE | relaxed; space group = No. 225; uncorrected energy = -97.92 eV for the cell shown; volume = 218 Å³/cell
1.0
6.0201 0.0000 0.0000
0.0000 6.0201 0.0000
0.0000 0.0000 6.0201
Co Ag Ru
8 4 4
Direct
0.2500 0.2500 0.2500 Co
0.2500 0.2500 0.7500 Co
0.2500 0.7500 0.2500 Co
0.2500 0.7500 0.7500 Co
0.7500 0.2500 0.2500 Co
0.7500 0.2500 0.7500 Co
0.7500 0.7500 0.2500 Co
0.7500 0.7500 0.7500 Co
0.0000 0.0000 0.0000 Ag
0.0000 0.5000 0.5000 Ag
0.5000 0.0000 0.5000 Ag
0.5000 0.5000 0.0000 Ag
0.0000 0.0000 0.5000 Ru
0.0000 0.5000 0.0000 Ru
0.5000 0.0000 0.0000 Ru
0.5000 0.5000 0.5000 Ru

Co4AgRu | the Alexandria database | PBE | relaxed; space group = No. 216; uncorrected energy = -38.96 eV for the cell shown; volume = 76 Å³/cell
1.0
0.0000 3.3667 3.3667
3.3667 0.0000 3.3667
3.3667 3.3667 0.0000
Co Ag Ru
4 1 1
Direct
0.1247 0.1247 0.1247 Co
0.1247 0.1247 0.6258 Co
0.1247 0.6258 0.1247 Co
0.6258 0.1247 0.1247 Co
0.5000 0.5000 0.5000 Ag
0.7500 0.7500 0.7500 Ru

Co3AgRu | the Alexandria database | PBE | relaxed; space group = No. 221; uncorrected energy = -26.33 eV for the cell shown; volume = 88 Å³/cell
1.0
4.4420 0.0000 0.0000
0.0000 4.4420 0.0000
0.0000 0.0000 4.4420
Co Ag Ru
3 1 1
Direct
0.0000 0.0000 0.5000 Co
0.0000 0.5000 0.0000 Co
0.5000 0.0000 0.0000 Co
0.5000 0.5000 0.5000 Ag
0.0000 0.0000 0.0000 Ru

Question: Which formula does entry 1 have?
Answer: Co2TcAgRh

Question: The lowest volume belongs to which entry?
Answer: Co4AgRu

Copy entry 1 word for word.
Co2TcAgRh | the Alexandria database | PBE | relaxed; space group = No. 123; uncorrected energy = -26.52 eV for the cell shown; volume = 99 Å³/cell
1.0
4.4796 0.0000 0.0000
0.0000 4.4796 0.0000
0.0000 0.0000 4.9361
Co Tc Ag Rh
2 1 1 1
Direct
0.0000 0.5000 0.0000 Co
0.5000 0.0000 0.0000 Co
0.0000 0.0000 0.5000 Tc
0.5000 0.5000 0.5000 Ag
0.5000 0.5000 0.0000 Rh